<1>
Density functional theory data (GGA-PBE) for a geometry-optimized Tb6Dy12Tm structure.

Its total moment is 0.0000 μB per atom. As for the density of states at the Fermi level: 1.664 states/eV per atom. Its crystal system is trigonal.

The space group is R-3m (No. 166, hexagonal axes) and the conventional cell measures 14.9694, 14.9694 and 10.1501 Å, with angles of 90.00, 90.00 and 120.00 degrees. The inequivalent atoms are Tb at (0.0741, 0.5370, 0.2166), Dy at (0.0000, 0.3882, 0.5000), Dy at (0.0778, 0.1556, 0.2474) and Tm at (0.0000, 0.0000, 0.0000).


<2>
Density functional theory data (GGA-PBE) for a geometry-optimized Tb6Dy12Tm structure.

Its total moment is 0.0000 μB per atom. As for the density of states at the Fermi level: 1.676 states/eV per atom. Its crystal system is trigonal.

The space group is R-3 (No. 148, hexagonal axes) and the conventional cell measures 11.8439, 11.8439 and 15.0841 Å, with angles of 90.00, 90.00 and 120.00 degrees. The inequivalent atoms are Tb at (0.0113, 0.5885, 0.1810), Dy at (0.0130, 0.1785, 0.6908), Dy at (0.0425, 0.1907, 0.9157) and Tm at (0.0000, 0.0000, 0.5000).


Stability summary - winner: <2>; margin: 0.303 eV/atom.